Entry 1:
Here is an optimized crystal structure of BaLi2In from Alexandria. Energies are from PBEsol.

Unit cell a=5.213 b=5.213 c=10.413 alpha=104.49 beta=104.49 gamma=90.00
Sites, in units of the cell vectors:
Li  0.625  0.375  0.750
Li  0.125  0.375  0.750
Li  0.625  0.875  0.250
Li  0.625  0.375  0.250
Ba  0.000  0.000  0.000
Ba  0.250  0.750  0.500
In  0.500  0.500  0.000
In  0.750  0.250  0.500

Calculated values
The calculation puts the energy relative to the elements at -0.054 eV per atom. Its calculated volume is 33.076 Å³ per atom. For the electronic total energy, the calculation gives -2.3201 eV per atom.

***

Entry 2:
Here is an optimized crystal structure of HgPNF2 from Alexandria. Energies are from PBEsol.

Unit cell a=4.239 b=4.363 c=4.363 alpha=90.00 beta=90.00 gamma=90.00
Last column: magnetic moment on the atom in μB.
Sites, in units of the cell vectors:
P  0.500  0.500  0.500  0.83
N  0.500  0.000  0.000  -0.82
Hg  0.000  0.000  0.000  -0.05
F  0.000  0.000  0.500  0.04
F  0.000  0.500  0.000  0.04

Calculated values
For the uncorrected formation energy, the calculation gives 0.697 eV/atom. Its calculated volume is 16.137 Å³ per atom. For the electronic total energy, the calculation gives -3.0510 eV per atom.

***

Entry 3:
Here is an optimized crystal structure of ErTmAg2 from Alexandria. Energies are from PBEsol.

Unit cell a=4.990 b=4.990 c=4.990 alpha=60.00 beta=60.00 gamma=60.00
Sites, in units of the cell vectors:
Tm  0.000  0.000  0.000
Ag  0.750  0.750  0.750
Ag  0.250  0.250  0.250
Er  0.500  0.500  0.500

Calculated values
The calculation puts the energy relative to the elements at -0.352 eV per atom. Its calculated volume is 21.968 Å³ per atom. For the electronic total energy, the calculation gives -4.4638 eV per atom.

***

Entry 4:
Here is an optimized crystal structure of Sr2TlAg from Alexandria. Energies are from PBEsol.

Unit cell a=3.840 b=5.603 c=5.603 alpha=90.00 beta=90.00 gamma=90.00
Sites, in units of the cell vectors:
Sr  0.000  0.000  0.500
Sr  0.000  0.500  0.000
Tl  0.500  0.500  0.500
Ag  0.500  0.000  0.000

Calculated values
The calculation puts the energy relative to the elements at -0.326 eV per atom. Its calculated volume is 30.145 Å³ per atom. For the electronic total energy, the calculation gives -2.7315 eV per atom.

***

Entry 5:
Here is an optimized crystal structure of BeTcSe2 from Alexandria. Energies are from PBEsol.

Unit cell a=3.045 b=3.045 c=6.257 alpha=90.00 beta=90.00 gamma=90.00
Sites, in units of the cell vectors:
Be  0.500  0.500  0.500
Tc  0.500  0.500  0.000
Se  0.000  0.000  0.753
Se  0.000  0.000  0.247

Calculated values
For the uncorrected formation energy, the calculation gives 0.235 eV/atom. Its calculated volume is 14.504 Å³ per atom. For the electronic total energy, the calculation gives -5.5072 eV per atom.

***

Entry 6:
Here is an optimized crystal structure of ScTlCd2 from Alexandria. Energies are from PBEsol.

Unit cell a=4.326 b=4.326 c=5.577 alpha=112.82 beta=112.82 gamma=90.00
Sites, in units of the cell vectors:
Sc  0.500  0.500  0.000
Tl  0.000  0.000  0.000
Cd  0.750  0.250  0.500
Cd  0.250  0.750  0.500

Calculated values
The calculation puts the energy relative to the elements at -0.165 eV per atom. Its calculated volume is 21.814 Å³ per atom. For the electronic total energy, the calculation gives -3.0720 eV per atom.

***

Entry 7:
Here is an optimized crystal structure of Ce4Sb3 from Alexandria. Energies are from PBEsol.

Unit cell a=8.027 b=8.027 c=8.027 alpha=109.47 beta=109.47 gamma=109.47
Last column: magnetic moment on the atom in μB.
Sites, in units of the cell vectors:
Ce  0.500  0.352  0.500  0.80
Ce  0.148  0.148  0.648  0.80
Ce  0.852  0.000  0.000  0.80
Ce  0.000  0.500  0.852  0.80
Ce  0.500  0.852  0.500  0.80
Ce  0.000  0.500  0.352  0.80
Ce  0.648  0.648  0.148  0.80
Ce  0.352  0.000  0.000  0.80
Sb  0.250  0.375  0.125  -0.02
Sb  0.625  0.250  0.875  -0.02
Sb  0.750  0.125  0.375  -0.02
Sb  0.125  0.875  0.250  -0.02
Sb  0.375  0.625  0.750  -0.02
Sb  0.875  0.750  0.625  -0.02

Calculated values
For the uncorrected formation energy, the calculation gives -0.859 eV/atom. Its calculated volume is 28.438 Å³ per atom. For the electronic total energy, the calculation gives -6.5811 eV per atom.

***

Entry 8:
Here is an optimized crystal structure of ZrNbAl2 from Alexandria. Energies are from PBEsol.

Unit cell a=5.620 b=5.890 c=5.890 alpha=76.85 beta=61.51 gamma=61.51
Sites, in units of the cell vectors:
Nb  0.000  0.000  0.000
Nb  0.750  0.500  0.500
Al  0.637  0.988  0.488
Al  0.113  0.012  0.512
Al  0.375  0.512  0.988
Al  0.875  0.488  0.012
Zr  0.500  0.000  0.000
Zr  0.250  0.500  0.500

Calculated values
The calculation puts the energy relative to the elements at 0.083 eV per atom. Its calculated volume is 18.827 Å³ per atom. For the electronic total energy, the calculation gives -6.9407 eV per atom.